Below is a relaxed Ta3NbN crystal, with properties calculated at the PBE-GGA level.

a = 4.2987 Å, b = 4.2987 Å, c = 4.2987 Å
α = 90.00°, β = 90.00°, γ = 90.00°
With the nearest neighbours (Å) after each atom.
Fractional coordinates of all 5 atoms:
Ta 0.0000 0.0000 0.5000  2 N 2.15
Ta 0.0000 0.5000 0.0000  2 N 2.15
Ta 0.5000 0.0000 0.0000  2 N 2.15
Nb 0.5000 0.5000 0.5000  12 Ta 3.04
N 0.0000 0.0000 0.0000  6 Ta 2.15

Output
crystal system	cubic
Fermi-level density of states	0.7426	states/eV/atom
E above lowest polymorph	0.02	eV/f.u.
final energy	-56.08	eV for the cell shown
space group	Pm-3m